A plane-wave DFT calculation with PBE was carried out for an optimized crystal structure of ZrSc4Pd.

The structure in CIF format:
```
data_ZrSc4Pd
_cell_length_a 3.304
_cell_length_b 3.304
_cell_length_c 12.227
_cell_angle_alpha 90.00
_cell_angle_beta 90.00
_cell_angle_gamma 90.00
_space_group_name_H-M_alt 'P 4/m m m'
_space_group_IT_number 123
_space_group_name_Hall '-P 4 2'
loop_
_atom_site_label
_atom_site_fract_x
_atom_site_fract_y
_atom_site_fract_z
Zr1 0.000 0.000 0.000
Sc1 0.000 0.000 0.369
Sc2 0.500 0.500 0.175
Pd1 0.500 0.500 0.500
```

- E_form (meV per atom) = -266
- DOS at the Fermi energy (states/eV/f.u.) = 7.9
- crystal system = tetragonal